1.
Below is a geometry-optimized FeTcN2F structure, with properties calculated at the GGA-PBEsol level.

a = 3.8115 Å, b = 3.8115 Å, c = 3.9719 Å
α = 90.00°, β = 90.00°, γ = 90.00°
Each line ends with the local moment (μB).
Sites, in units of the cell vectors:
N: 0.0000 0.5000 0.0000  0.06
N: 0.5000 0.0000 0.0000  0.06
F: 0.0000 0.0000 0.5000  0.02
Tc: 0.0000 0.0000 0.0000  -0.04
Fe: 0.5000 0.5000 0.5000  3.34

Output
* total energy: -7.5456 eV/atom
* DOS(E_F): 4.42 states/eV per cell
* SG: P4/mmm (123)
* crystal system: tetragonal
* magnetization: 3.6 μB per formula unit

2.
Below is a geometry-optimized ZnAgPt2 structure, with properties calculated at the GGA-PBEsol level.

a = 2.8088 Å, b = 3.6867 Å, c = 5.7406 Å
α = 90.00°, β = 90.00°, γ = 90.00°
Sites, in units of the cell vectors:
Zn: 0.5000 0.5000 0.5000
Ag: 0.5000 0.5000 0.0000
Pt: 0.0000 0.0000 0.2640
Pt: 0.0000 0.0000 0.7360

Output
* DOS(E_F): 1.42 states/eV per cell
* SG: Pmmm (47)
* ΔE_f: -22.9 kJ per mole of atoms
* crystal system: orthorhombic
* magnetization: 0.0 μB per formula unit

3.
Below is a geometry-optimized RbPbSe2Br structure, with properties calculated at the GGA-PBEsol level.

a = 5.4985 Å, b = 5.4985 Å, c = 5.8595 Å
α = 90.00°, β = 90.00°, γ = 90.00°
Sites, in units of the cell vectors:
Pb: 0.5000 0.5000 0.5000
Se: 0.0000 0.5000 0.0000
Se: 0.5000 0.0000 0.0000
Br: 0.0000 0.0000 0.5000
Rb: 0.0000 0.0000 0.0000

Output
* total energy: -2.5090 eV/atom
* DOS(E_F): 2.01 states/eV per cell
* SG: P4/mmm (123)
* crystal system: tetragonal
* magnetization: 0.0 μB per formula unit

4.
Below is a geometry-optimized TlCu2Br structure, with properties calculated at the GGA-PBEsol level.

a = 4.8658 Å, b = 4.8658 Å, c = 4.8658 Å
α = 60.00°, β = 60.00°, γ = 60.00°
Sites, in units of the cell vectors:
Br: 0.5000 0.5000 0.5000
Cu: 0.0000 0.0000 0.0000
Cu: 0.7500 0.7500 0.7500
Tl: 0.2500 0.2500 0.2500

Output
* DOS(E_F): 1.07 states/eV per cell
* SG: F-43m (216)
* offset from the most stable computed form: 185 meV/atom
* crystal system: cubic
* magnetization: 0.0 μB per formula unit

5.
Below is a geometry-optimized LiMg2Ta structure, with properties calculated at the GGA-PBEsol level.

a = 2.7782 Å, b = 4.5274 Å, c = 5.9331 Å
α = 90.00°, β = 90.00°, γ = 90.00°
Sites, in units of the cell vectors:
Li: 0.5000 0.5000 0.7432
Mg: 0.0000 0.0000 0.9918
Mg: 0.5000 0.5000 0.2674
Ta: 0.0000 0.0000 0.4977

Output
* DOS(E_F): 2.65 states/eV per cell
* SG: Pmm2 (25)
* ΔE_f: 37.3 kJ per mole of atoms
* offset from the most stable computed form: 53 meV/atom
* crystal system: orthorhombic
* magnetization: 0.0 μB per formula unit

6.
Below is a geometry-optimized YMn2Os2 structure, with properties calculated at the GGA-PBEsol level.

a = 4.0362 Å, b = 4.0362 Å, c = 5.7278 Å
α = 110.63°, β = 110.63°, γ = 90.00°
Sites, in units of the cell vectors:
Y: 0.0000 0.0000 0.0000
Mn: 0.2500 0.7500 0.5000
Mn: 0.7500 0.2500 0.5000
Os: 0.3750 0.3750 0.7500
Os: 0.6250 0.6250 0.2500

Output
* DOS(E_F): 4.63 states/eV per cell
* SG: I4/mmm (139)
* ΔE_f: 5.1 kJ per mole of atoms
* crystal system: tetragonal
* magnetization: 0.0 μB per formula unit

- The highest DOS(E_F) belongs to which entry?
  YMn2Os2